1.
This record from OQMD describes crystalline KHfBi at its relaxed geometry. The functional is PBE-GGA.

Values from the calculation:
As for the crystal system: cubic. The energy comes out at -3.73 eV per atom.

Lattice parameters (Å, degrees): 7.484 7.484 7.484 90.00 90.00 90.00
Space group F-43m (No. 216)
One atom of each set of equivalent atoms:
1 K 0.000 0.000 0.000 (multiplicity 4)
2 Hf 0.250 0.250 0.250 (multiplicity 4)
3 Bi 0.250 0.250 0.750 (multiplicity 4)

2.
This record from OQMD describes crystalline KHf3Bi5 at its relaxed geometry. The functional is PBE-GGA.

Values from the calculation:
As for the crystal system: hexagonal. The energy comes out at -5.91 eV per atom.

Lattice parameters (Å, degrees): 6.1142 6.1142 9.2118 90.00 90.00 120.00
Space group P6/mmm (No. 191)
One atom of each set of equivalent atoms:
1 K 0.0000 0.0000 0.0000 (multiplicity 1)
2 Hf 0.0000 0.5000 0.5000 (multiplicity 3)
3 Bi 0.0000 0.0000 0.5000 (multiplicity 1)
4 Bi 0.3333 0.6667 0.2214 (multiplicity 4)